(1)
A relaxed structure of Pr2InBi6, computed with PBE.

For the formation energy, the calculation gives -364 meV/atom.

Lattice parameters (Å, degrees): 4.2367 15.0920 9.6210 90.00 90.00 90.00
With the nearest neighbours (Å) after each atom.
Space group Amm2 (No. 38)
One atom of each set of equivalent atoms:
Pr1 0.0000 0.1754 0.0000  9 Bi 3.33-3.44
In1 0.5000 0.0000 0.5203  6 Bi 3.29-3.34
Bi1 0.0000 0.0000 0.7816  2 Bi 3.18, 2 In 3.29, 2 Pr 3.38
Bi2 0.0000 0.1251 0.3366  2 Bi 3.19, 2 Pr 3.33-3.40, 2 In 3.34
Bi3 0.5000 0.0000 0.0288  2 Bi 3.18, 4 Pr 3.40
Bi4 0.5000 0.2293 0.7390  2 Bi 3.19, 4 Pr 3.38-3.44

(2)
A relaxed structure of Pr4InBi2, computed with PBE.

For the formation energy, the calculation gives -514 meV/atom.

Lattice parameters (Å, degrees): 6.2684 6.8766 11.0247 90.00 104.33 90.00
With the nearest neighbours (Å) after each atom.
Space group P2_1/m (No. 11)
One atom of each set of equivalent atoms:
Pr1 0.0362 0.0166 0.2572  1 Pr 3.21, 4 Bi 3.30-3.54, 1 In 3.35
Pr2 0.3452 0.7500 0.5417  1 In 3.05, 2 Bi 3.18-3.40
Pr3 0.4590 0.7500 0.1408  3 Bi 3.45-3.50, 3 In 3.45-3.49, 2 Pr 3.70
In1 0.4476 0.7500 0.8266  1 Bi 2.98, 1 Pr 3.05
Bi1 0.1063 0.2500 0.9990  1 In 2.98, 2 Pr 3.30
Bi2 0.2139 0.2500 0.5516  9 Pr 3.18-3.54

(3)
A relaxed structure of PrInBi, computed with PBE.

For the formation energy, the calculation gives -390 meV/atom.

Lattice parameters (Å, degrees): 5.1641 5.1641 4.0926 90.00 90.00 120.00
With the nearest neighbours (Å) after each atom.
Space group P3m1 (No. 156)
One atom of each set of equivalent atoms:
Pr1 0.0000 0.0000 0.0000  3 In 3.37, 6 Bi 3.49-3.75
In1 0.3333 0.6667 0.3852  3 Bi 3.06, 3 Pr 3.37
Bi1 0.6667 0.3333 0.5563  3 In 3.06

(4)
A relaxed structure of Pr2InBi, computed with PBE.

For the formation energy, the calculation gives -513 meV/atom. The relative energy among the computed polymorphs comes out at 174.3 meV per atom.

Lattice parameters (Å, degrees): 7.9310 7.9310 7.9310 90.00 90.00 90.00
With the nearest neighbours (Å) after each atom.
Space group Fm-3m (No. 225)
One atom of each set of equivalent atoms:
Pr1 0.2500 0.2500 0.2500  4 In 3.43, 4 Bi 3.43
In1 0.0000 0.0000 0.0000  8 Pr 3.43
Bi1 0.0000 0.0000 0.5000  8 Pr 3.43